Density functional theory data (PBE+U) for a relaxed structure of Dy2ErMoO8.

Geometry as CIF:
```
data_Dy2ErMoO8
_chemical_formula_sum 'Dy4 Er2 Mo2 O16'
_space_group_name_H-M_alt 'C m m m'
_space_group_IT_number 65
_space_group_name_Hall '-C 2 2'
_cell_length_a 7.096
_cell_length_b 7.197
_cell_length_c 6.763
_cell_angle_alpha 90.00
_cell_angle_beta 90.00
_cell_angle_gamma 90.00
loop_
_atom_site_label
_atom_site_fract_x
_atom_site_fract_y
_atom_site_fract_z
Dy1 0.000 0.000 0.249
Er1 0.000 0.500 0.000
Mo1 0.000 0.500 0.500
O1 0.000 0.318 0.286
O2 0.195 0.000 0.000
O3 0.226 0.000 0.500
```

M_tot ... 0.0763 μB/atom
E_tot ... -7.7258 eV per atom